# ZnCrSb2, optimized geometry, DFT GGA-PBE
# - ΔE_f (raw): 0.479 eV per atom
# - Density: 6.71 g cm⁻³
# - Magnetization: 1.0047 μB per atom
data_ZnCrSb2
_chemical_formula_sum 'Zn4 Cr4 Sb8'
_space_group_name_H-M_alt 'F -4 3 m'
_space_group_IT_number 216
_space_group_name_Hall 'F -4 2 3'
_cell_length_a 7.0966
_cell_length_b 7.0966
_cell_length_c 7.0966
_cell_angle_alpha 90.00
_cell_angle_beta 90.00
_cell_angle_gamma 90.00
loop_
_atom_site_label
_atom_site_fract_x
_atom_site_fract_y
_atom_site_fract_z
_atom_site_occupancy
Zn1 0.0000 0.0000 0.0000 1
Cr1 0.2500 0.2500 0.7500 1
Sb1 0.0000 0.0000 0.5000 1
Sb2 0.2500 0.2500 0.2500 1